A plane-wave DFT calculation with GGA+U was carried out for a relaxed structure of PaFe2NiO6.

## Properties
DOS at the Fermi energy = 2.2 states/eV/f.u.
Crystal system = monoclinic
Calculated total energy = -7.256 eV per atom
Magnetization = 22.0 Bohr magnetons per cell

abc: 5.4122 5.1992 10.3174
angles: 90.00 121.34 90.00
Closest atoms and distances in Å follow each position.
Space group P2_1/c (No. 14)
Unique sites:
1 Pa 0.0000 0.0000 0.0000 x2  6 O 2.07-2.28
2 Fe 0.2926 0.0010 0.7925 x4  5 O 2.01-2.23
3 Ni 0.5000 0.0000 0.5000 x2  2 O 1.85
4 O 0.0421 0.7409 0.8366 x4  2 Fe 2.03-2.12, 1 Pa 2.26
5 O 0.3354 0.1862 0.9984 x4  1 Ni 1.85, 1 Pa 2.07
6 O 0.3644 0.7292 0.1586 x4  2 Fe 2.01-2.17